No. 1
La2HfMo after structural relaxation, computed with PBE.

Results
D(E_F)	1.5850	states/eV/atom
energy	-6.88	eV/atom
V	27.2	A^3/atom
space group	No. 122
relative energy among the computed polymorphs	16.8	kJ per mole of atoms
ΔH_f (0 K)	0.782	eV per atom

a b c (Å): 8.5567 8.5567 6.7422
angles (deg): 50.61 50.61 90.00
Sites, in units of the cell vectors:
Hf  0.0000  0.0000  0.0000
La  0.5656  0.1250  0.2500
La  0.1844  0.6250  0.2500
La  0.3750  0.4344  0.7500
Mo  0.5000  0.5000  0.0000
Mo  0.2500  0.7500  0.5000
La  0.8750  0.8156  0.7500
Hf  0.7500  0.2500  0.5000

No. 2
KSrHf2 after structural relaxation, computed with PBE.

Results
D(E_F)	1.6435	states/eV/atom
energy	-4.50	eV/atom
V	31.0	A^3/atom
space group	No. 122
relative energy among the computed polymorphs	0.0	kJ per mole of atoms
ΔH_f (0 K)	1.171	eV per atom

a b c (Å): 4.3875 4.3875 13.2604
angles (deg): 80.48 80.48 90.00
Each line ends with the local moment (μB).
Sites, in units of the cell vectors:
K  0.5000  0.5000  0.0000  0.03
Hf  0.8750  0.8774  0.7500  0.37
Sr  0.0000  0.0000  0.0000  0.06
K  0.2500  0.7500  0.5000  0.03
Sr  0.7500  0.2500  0.5000  0.06
Hf  0.1226  0.6250  0.2500  0.38
Hf  0.6274  0.1250  0.2500  0.38
Hf  0.3750  0.3726  0.7500  0.37

No. 3
LaBeZn2P after structural relaxation, computed with PBE.

Results
D(E_F)	0.4482	states/eV/atom
energy	-3.55	eV/atom
V	18.6	A^3/atom
space group	No. 123
ΔH_f (0 K)	-0.231	eV per atom

a b c (Å): 4.3633 4.8802 4.3633
angles (deg): 90.00 90.00 90.00
Sites, in units of the cell vectors:
P  0.0000  0.5000  0.0000
Zn  0.0000  0.0000  0.5000
La  0.5000  0.5000  0.5000
Be  0.0000  0.0000  0.0000
Zn  0.5000  0.0000  0.0000

No. 4
Ba2LiOs after structural relaxation, computed with PBE.

Results
D(E_F)	1.0384	states/eV/atom
energy	-3.66	eV/atom
V	32.8	A^3/atom
space group	No. 44
relative energy among the computed polymorphs	14.9	kJ per mole of atoms
ΔH_f (0 K)	0.592	eV per atom

a b c (Å): 7.1980 7.1980 7.1980
angles (deg): 150.18 134.68 55.20
Sites, in units of the cell vectors:
Ba  0.7634  0.2634  0.5000
Ba  0.0684  0.0684  0.0000
Os  0.2583  0.7583  0.5000
Li  0.4099  0.4099  0.0000

No. 5
H3AuSe after structural relaxation, computed with PBE.

Results
D(E_F)	0.6516	states/eV/atom
energy	-2.60	eV/atom
V	10.8	A^3/atom
space group	No. 221
relative energy among the computed polymorphs	0.0	kJ per mole of atoms

a b c (Å): 3.7843 3.7843 3.7843
angles (deg): 90.00 90.00 90.00
Sites, in units of the cell vectors:
Se  0.5000  0.5000  0.5000
H  0.0000  0.5000  0.0000
H  0.0000  0.0000  0.5000
H  0.5000  0.0000  0.0000
Au  0.0000  0.0000  0.0000

No. 6
Zr2Ir2Pd after structural relaxation, computed with PBE.

Results
D(E_F)	0.8967	states/eV/atom
energy	-8.33	eV/atom
V	20.0	A^3/atom
space group	No. 139
relative energy among the computed polymorphs	33.0	kJ per mole of atoms
ΔH_f (0 K)	-0.327	eV per atom

a b c (Å): 3.7535 3.7535 7.5784
angles (deg): 75.66 75.66 90.00
Sites, in units of the cell vectors:
Ir  0.7500  0.2500  0.5000
Zr  0.6124  0.6124  0.7752
Zr  0.3876  0.3876  0.2248
Ir  0.2500  0.7500  0.5000
Pd  0.0000  0.0000  0.0000

No. 7
Hg2MoIr after structural relaxation, computed with PBE.

Results
D(E_F)	1.0197	states/eV/atom
energy	-4.03	eV/atom
V	19.8	A^3/atom
space group	No. 122
relative energy among the computed polymorphs	83.9	kJ per mole of atoms
ΔH_f (0 K)	1.045	eV per atom

a b c (Å): 7.6545 7.6545 6.0483
angles (deg): 50.74 50.74 90.00
Sites, in units of the cell vectors:
Ir  0.7500  0.2500  0.5000
Hg  0.6327  0.1250  0.2500
Hg  0.1173  0.6250  0.2500
Hg  0.3750  0.3673  0.7500
Ir  0.0000  0.0000  0.0000
Hg  0.8750  0.8827  0.7500
Mo  0.5000  0.5000  0.0000
Mo  0.2500  0.7500  0.5000

No. 8
K2Pt2S3 after structural relaxation, computed with PBE.

Results
raw formation energy	-0.538	eV per atom
D(E_F)	0.1988	states/eV/atom
energy	-4.35	eV/atom
V	23.5	A^3/atom
space group	No. 14

a b c (Å): 7.9812 6.5728 6.8727
angles (deg): 90.00 65.88 90.00
Sites, in units of the cell vectors:
Pt  0.5878  0.4011  0.6036
K  0.5956  0.1094  0.1897
S  0.7721  0.1491  0.6583
K  0.9044  0.6094  0.8103
Pt  0.9122  0.9011  0.3964
Pt  0.0878  0.0989  0.6036
S  0.0000  0.0000  0.0000
S  0.7279  0.6491  0.3417
S  0.2279  0.8509  0.3417
K  0.4044  0.8906  0.8103
S  0.2721  0.3509  0.6583
Pt  0.4122  0.5989  0.3964
S  0.5000  0.5000  0.0000
K  0.0956  0.3906  0.1897

No. 9
Ta2OsRu after structural relaxation, computed with PBE.

Results
D(E_F)	1.1633	states/eV/atom
energy	-11.20	eV/atom
V	16.2	A^3/atom
space group	No. 119
relative energy among the computed polymorphs	16.7	kJ per mole of atoms
ΔH_f (0 K)	-0.146	eV per atom

a b c (Å): 5.1441 5.1441 5.1441
angles (deg): 135.98 135.98 64.01
Sites, in units of the cell vectors:
Ta  0.2500  0.7500  0.5000
Ta  0.0000  0.0000  0.0000
Ru  0.7500  0.2500  0.5000
Os  0.5000  0.5000  0.0000

No. 10
PrTm3 after structural relaxation, computed with PBE.

Results
D(E_F)	1.6214	states/eV/atom
energy	-4.53	eV/atom
V	31.9	A^3/atom
space group	No. 44
relative energy among the computed polymorphs	0.5	kJ per mole of atoms
ΔH_f (0 K)	0.017	eV per atom

a b c (Å): 3.6297 6.2303 6.6973
angles (deg): 117.72 105.72 90.00
Sites, in units of the cell vectors:
Tm  0.7529  0.0883  0.5058
Pr  0.0000  0.9956  0.0000
Tm  0.5000  0.5001  0.0000
Tm  0.2471  0.5826  0.4942

No. 11
BaMo2Se after structural relaxation, computed with PBE.

Results
raw formation energy	0.845	eV per atom
D(E_F)	1.1802	states/eV/atom
energy	-5.92	eV/atom
V	21.9	A^3/atom
space group	No. 12

a b c (Å): 5.8969 4.6118 3.7208
angles (deg): 88.90 72.06 112.64
Sites, in units of the cell vectors:
Mo  0.0000  0.0000  0.0000
Mo  0.0000  0.5000  0.5000
Ba  0.5000  0.0000  0.5000
Se  0.5000  0.5000  0.0000

No. 12
VIn2Co after structural relaxation, computed with PBE.

Results
D(E_F)	0.5281	states/eV/atom
energy	-5.19	eV/atom
V	16.7	A^3/atom
space group	No. 225
relative energy among the computed polymorphs	0.0	kJ per mole of atoms
ΔH_f (0 K)	0.231	eV per atom

a b c (Å): 4.5555 4.5555 4.5555
angles (deg): 60.00 60.00 60.00
Each line ends with the local moment (μB).
Sites, in units of the cell vectors:
In  0.2500  0.2500  0.2500  -0.01
V  0.0000  0.0000  0.0000  2.16
In  0.7500  0.7500  0.7500  -0.01
Co  0.5000  0.5000  0.5000  0.29